(1)
# Y5Co2

An optimized crystal structure of Y5Co2 (GGA-PBE, Alexandria).

* energy of formation: -0.16 eV per atom

Lattice parameters (Å, degrees): 16.0444 6.3404 6.9638 90.00 96.68 90.00
With the nearest neighbours (Å) after each atom.
Space group C2/c (No. 15)
Inequivalent atoms, fractional coordinates:
Y1 0.0000 0.0698 0.2500 x4  4 Co 2.86-2.91
Y2 0.0950 0.3934 0.9122 x8  2 Co 2.67-2.74
Y3 0.2153 0.0690 0.3159 x8  2 Co 2.74-2.86
Co1 0.1117 0.2129 0.5730 x8  6 Y 2.67-2.91


(2)
# CrNCl2

An optimized crystal structure of CrNCl2 (GGA-PBE, Alexandria).

* formation energy (no corrections): 1463 meV/atom
* energy relative to the lowest polymorph listed for this composition: 297 meV/atom

Lattice parameters (Å, degrees): 5.8925 5.8925 5.8925 90.00 90.00 90.00
With the nearest neighbours (Å) after each atom.
Space group Fm-3m (No. 225)
Inequivalent atoms, fractional coordinates:
Cr1 0.0000 0.0000 0.0000 x4  8 Cl 2.55
N1 0.0000 0.0000 0.5000 x4  8 Cl 2.55
Cl1 0.2500 0.2500 0.2500 x8  4 N 2.55, 4 Cr 2.55


(3)
# Tm4GePS2

An optimized crystal structure of Tm4GePS2 (GGA-PBE, Alexandria).

* formation energy (no corrections): -1641 meV/atom

Lattice parameters (Å, degrees): 6.8228 3.9529 6.8478 90.00 109.50 90.00
With the nearest neighbours (Å) after each atom.
Space group P2/m (No. 10)
Inequivalent atoms, fractional coordinates:
Tm1 0.2424 0.0000 0.2462 x2  2 P 2.76, 1 Ge 2.77, 3 S 2.81-2.82
Tm2 0.2454 0.5000 0.7502 x2  1 P 2.76, 2 Ge 2.78, 3 S 2.80-2.82
Ge1 0.0000 0.0000 0.5000 x1  6 Tm 2.77-2.78
P1 0.0000 0.5000 0.0000 x1  6 Tm 2.76
S1 0.5000 0.0000 0.0000 x1  6 Tm 2.80-2.81
S2 0.5000 0.5000 0.5000 x1  6 Tm 2.82


(4)
# KTaRu

An optimized crystal structure of KTaRu (GGA-PBE, Alexandria).

* energy of formation: 1.29 eV per atom
* energy relative to the lowest polymorph listed for this composition: 735 meV/atom

Lattice parameters (Å, degrees): 4.8331 4.8331 2.8367 90.00 90.00 120.00
With the nearest neighbours (Å) after each atom.
Space group P3m1 (No. 156)
Inequivalent atoms, fractional coordinates:
K1 0.0000 0.0000 0.0000 x1  2 K 2.84, 3 Ru 2.97, 3 Ta 3.00
Ta1 0.3333 0.6667 0.6139 x1  2 Ta 2.84, 3 Ru 2.88, 3 K 3.00
Ru1 0.6667 0.3333 0.3575 x1  2 Ru 2.84, 3 Ta 2.88, 3 K 2.97


(5)
# LaNd6Y2

An optimized crystal structure of LaNd6Y2 (GGA-PBE, Alexandria).

* energy of formation: 0.18 eV per atom
* energy relative to the lowest polymorph listed for this composition: 5 meV/atom

Lattice parameters (Å, degrees): 7.5771 7.5771 6.2988 90.00 90.00 120.00
With the nearest neighbours (Å) after each atom.
Space group P-3m1 (No. 164)
Inequivalent atoms, fractional coordinates:
La1 0.0000 0.0000 0.0000 x1  6 Nd 3.06
Nd1 0.1863 0.3726 0.7075 x6  1 La 3.06, 2 Nd 3.34
Y1 0.3333 0.6667 0.2148 x2  12 Nd 3.65-3.83


(6)
# LuPuP2

An optimized crystal structure of LuPuP2 (GGA-PBE, Alexandria).

* energy of formation: -1.37 eV per atom

Lattice parameters (Å, degrees): 3.9688 3.9688 19.1799 90.00 90.00 120.00
With the nearest neighbours (Å) after each atom.
Space group R-3m (No. 166, hexagonal axes)
Inequivalent atoms, fractional coordinates:
Lu1 0.0000 0.0000 0.0000 x3  6 P 2.79
Pu1 0.0000 0.0000 0.5000 x3  6 P 2.80
P1 0.0000 0.0000 0.2502 x6  3 Lu 2.79, 3 Pu 2.80


Density of states at the Fermi level values, unit states/eV per atom, following the record order: 1.24, 1.00, 0.16, 0.52, 1.64, 2.13.
Electronic total energy values, unit eV per atom, following the record order: -6.808, -3.948, -6.162, -6.114, -4.985, -8.787.